1.
32
Lattice="11.9023 0.0000 0.0000 0.0000 7.7930 0.0000 0.0000 0.0000 7.3443" Properties=species:S:1:pos:R:3 comment="DyPa2S5 (GGA-PBE, relaxed)" dos_ef_per_ev_cell=31.7 final_energy_ev_per_atom=-7.284 pbc="T T T"
Dy 0.0447 1.9483 0.5730
Dy 5.9064 5.8448 4.2451
Dy 5.9958 1.9483 3.0991
Dy 11.8576 5.8448 6.7712
Pa 2.1422 0.0013 3.7742
Pa 2.1422 3.8952 3.7742
Pa 3.8089 7.7917 0.1021
Pa 3.8089 3.8978 0.1021
Pa 8.0934 0.0013 7.2421
Pa 8.0934 3.8952 7.2421
Pa 9.7600 7.7917 3.5700
Pa 9.7600 3.8978 3.5700
S 0.0104 1.9483 3.4300
S 1.2540 4.2155 1.1882
S 1.2540 7.4740 1.1882
S 2.2020 1.9483 6.0370
S 2.5434 5.8448 5.8431
S 3.4078 1.9483 2.1709
S 3.7491 5.8448 2.3649
S 4.6972 0.3190 4.8603
S 4.6972 3.5775 4.8603
S 5.9407 5.8448 7.1021
S 5.9615 1.9483 0.2422
S 7.2051 4.2155 2.4839
S 7.2051 7.4740 2.4839
S 8.1531 1.9483 4.9794
S 8.4945 5.8448 5.1733
S 9.3589 1.9483 1.5012
S 9.7003 5.8448 1.3073
S 10.6483 0.3190 6.1560
S 10.6483 3.5775 6.1560
S 11.8919 5.8448 3.9143

2.
20
Lattice="11.0068 0.0000 0.0000 0.0000 3.9098 0.0000 -3.4480 0.0000 10.7196" Properties=species:S:1:pos:R:3 comment="Dy3PaS6 (GGA-PBE, relaxed)" dos_ef_per_ev_cell=10.4 final_energy_ev_per_atom=-6.756 pbc="T T T"
Dy 0.2245 0.9774 1.7826
Dy 0.2434 2.9323 5.3807
Dy 0.5672 0.9774 9.8666
Dy 6.9916 2.9323 0.8530
Dy 7.3155 0.9774 5.3389
Dy 7.3343 2.9323 8.9370
Pa 3.9393 0.9774 3.2705
Pa 3.6195 2.9323 7.4492
S -1.0988 0.9774 4.1236
S -2.1085 0.9774 9.9969
S 1.7784 2.9323 2.9689
S 0.8358 2.9323 8.0297
S 2.4171 0.9774 5.7582
S 4.2570 2.9323 1.0785
S 3.3018 0.9774 9.6411
S 5.1417 2.9323 4.9614
S 6.7230 0.9774 2.6900
S 5.7804 0.9774 7.7507
S 9.6673 2.9323 0.7228
S 8.6576 2.9323 6.5960

3.
8
Lattice="3.9292 -5.5118 0.0000 3.9292 5.5118 0.0000 0.0000 0.0000 3.8725" Properties=species:S:1:pos:R:3 comment="Dy3PaS4 (GGA-PBE, relaxed)" dos_ef_per_ev_cell=5.3 final_energy_ev_per_atom=-6.855 pbc="T T T"
Dy 0.0000 0.0000 0.0000
Dy 1.9646 2.7559 1.9363
Dy 1.9646 -2.7559 1.9363
Pa 3.9292 0.0000 0.0000
S 1.9465 0.0000 1.9363
S 3.9292 2.7609 0.0000
S 3.9292 -2.7609 0.0000
S 5.9118 0.0000 1.9363

4.
18
Lattice="6.2526 0.0000 0.0000 0.0000 6.9013 0.0000 0.0000 0.0000 11.4941" Properties=species:S:1:pos:R:3 comment="DyPa2S6 (GGA-PBE, relaxed)" relative_energy_ev_per_fu=0.00 dos_ef_per_ev_cell=16.0 final_energy_ev_per_atom=-7.034 pbc="T T T"
Dy 0.0000 0.0000 0.0000
Dy 3.1263 3.4506 5.7471
Pa 0.0000 3.4506 2.0593
Pa 0.0000 3.4506 9.4348
Pa 3.1263 0.0000 3.6877
Pa 3.1263 0.0000 7.8064
S 1.3370 2.3661 0.0000
S 1.5284 5.6583 1.9132
S 1.5284 5.6583 9.5809
S 1.5980 2.2076 3.8339
S 1.5980 2.2076 7.6603
S 1.7893 5.8167 5.7471
S 4.4633 1.0846 5.7471
S 4.6547 4.6937 3.8339
S 4.6547 4.6937 7.6603
S 4.7243 1.2430 1.9132
S 4.7243 1.2430 9.5809
S 4.9156 4.5352 0.0000

5.
15
Lattice="0.0000 5.5119 5.5119 5.5119 0.0000 5.5119 5.5119 5.5119 0.0000" Properties=species:S:1:pos:R:3 comment="Dy6PaS8 (GGA-PBE, relaxed)" dos_ef_per_ev_cell=12.3 final_energy_ev_per_atom=-6.614 pbc="T T T"
Dy 2.7559 2.7559 0.0000
Dy 2.7559 0.0000 2.7559
Dy 5.5119 2.7559 2.7559
Dy 0.0000 2.7559 2.7559
Dy 2.7559 5.5119 2.7559
Dy 2.7559 2.7559 5.5119
Pa 0.0000 0.0000 0.0000
S 2.7559 2.7559 2.7559
S 5.5119 5.5119 2.7861
S 5.5119 2.7861 5.5119
S 8.2376 5.5119 5.5119
S 2.7861 5.5119 5.5119
S 5.5119 8.2376 5.5119
S 5.5119 5.5119 8.2376
S 8.2678 8.2678 8.2678

6.
6
Lattice="4.3870 -4.4689 0.0000 4.3870 4.4689 0.0000 0.0000 0.0000 4.1473" Properties=species:S:1:pos:R:3 comment="DyPaS4 (GGA-PBE, relaxed)" relative_energy_ev_per_fu=0.36 final_energy_ev_per_atom=-6.800 pbc="T T T"
Dy 0.0000 0.0000 0.0000
Pa 4.3870 0.0000 2.0736
S 1.7678 0.0000 2.0736
S 4.3870 1.6803 0.0000
S 4.3870 -1.6803 0.0000
S 7.0062 0.0000 2.0736